No. 1
Computed, not measured: a geometry-optimized Al2CdGe structure at the GGA-PBEsol level of DFT.

Unit cell a=7.6071 b=7.6071 c=5.4925 alpha=90.00 beta=90.00 gamma=90.00
With the nearest neighbours (Å) after each atom.
Sites, in units of the cell vectors:
Al  0.2074  0.7500  0.1250  2 Ge 2.56, 2 Al 2.82
Al  0.2500  0.2074  0.8750  2 Ge 2.56, 2 Al 2.82
Al  0.2500  0.2926  0.3750  2 Ge 2.56, 2 Al 2.82
Al  0.2926  0.7500  0.6250  2 Ge 2.56, 2 Al 2.82
Al  0.7074  0.2500  0.6250  2 Ge 2.56, 2 Al 2.82
Al  0.7500  0.7074  0.3750  2 Ge 2.56, 2 Al 2.82
Al  0.7500  0.7926  0.8750  2 Ge 2.56, 2 Al 2.82
Al  0.7926  0.2500  0.1250  2 Ge 2.56, 2 Al 2.82
Cd  0.0000  0.0000  0.5000  2 Ge 2.75, 4 Al 3.01
Cd  0.0000  0.5000  0.7500  2 Ge 2.75, 4 Al 3.01
Cd  0.5000  0.0000  0.2500  2 Ge 2.75, 4 Al 3.01
Cd  0.5000  0.5000  0.0000  2 Ge 2.75, 4 Al 3.01
Ge  0.0000  0.0000  0.0000  4 Al 2.56, 2 Cd 2.75
Ge  0.0000  0.5000  0.2500  4 Al 2.56, 2 Cd 2.75
Ge  0.5000  0.0000  0.7500  4 Al 2.56, 2 Cd 2.75
Ge  0.5000  0.5000  0.5000  4 Al 2.56, 2 Cd 2.75

Results
ΔH_f (0 K): 19.3 kJ/mol of atoms
Symmetry: I-42d, No. 122


No. 2
Computed, not measured: a geometry-optimized AlCdGeOs2 structure at the GGA-PBEsol level of DFT.

Unit cell a=4.5110 b=4.5110 c=4.5969 alpha=90.00 beta=90.00 gamma=90.00
With the nearest neighbours (Å) after each atom.
Sites, in units of the cell vectors:
Al  0.0000  0.0000  0.0000  4 Os 2.26, 2 Ge 2.30
Cd  0.5000  0.5000  0.5000  4 Ge 3.19, 8 Os 3.22
Ge  0.0000  0.0000  0.5000  2 Al 2.30
Os  0.0000  0.5000  0.0000  2 Al 2.26
Os  0.5000  0.0000  0.0000  2 Al 2.26

Results
ΔH_f (0 K): 140.8 kJ/mol of atoms
Symmetry: P4/mmm, No. 123


No. 3
Computed, not measured: a geometry-optimized AlCd3H structure at the GGA-PBEsol level of DFT.

Unit cell a=4.4324 b=4.4324 c=4.4324 alpha=90.00 beta=90.00 gamma=90.00
With the nearest neighbours (Å) after each atom.
Sites, in units of the cell vectors:
Al  0.0000  0.0000  0.0000  12 Cd 3.13
Cd  0.0000  0.5000  0.5000  2 H 2.22
Cd  0.5000  0.0000  0.5000  2 H 2.22
Cd  0.5000  0.5000  0.0000  2 H 2.22
H  0.5000  0.5000  0.5000  6 Cd 2.22

Results
Electronic total energy: -9.2 eV/f.u.
Symmetry: Pm-3m, No. 221


No. 4
Computed, not measured: a geometry-optimized AlCdSb2H structure at the GGA-PBEsol level of DFT.

Unit cell a=5.2043 b=5.2043 c=5.1970 alpha=90.00 beta=90.00 gamma=90.00
With the nearest neighbours (Å) after each atom.
Sites, in units of the cell vectors:
Al  0.0000  0.0000  0.0000  2 Cd 2.60, 4 Sb 2.60
Cd  0.0000  0.0000  0.5000  2 Al 2.60
Sb  0.0000  0.5000  0.0000  2 Al 2.60
Sb  0.5000  0.0000  0.0000  2 Al 2.60
H  0.5000  0.5000  0.5000  8 Sb 3.68, 4 Cd 3.68

Results
Electronic total energy: -13.0 eV/f.u.
Symmetry: P4/mmm, No. 123


No. 5
Computed, not measured: a geometry-optimized Hf2MnAlCd structure at the GGA-PBEsol level of DFT.

Unit cell a=5.0839 b=5.0839 c=4.7382 alpha=90.00 beta=90.00 gamma=90.00
With the nearest neighbours (Å) after each atom.
Sites, in units of the cell vectors:
Hf  0.0000  0.5000  0.0000  2 Cd 2.54
Hf  0.5000  0.0000  0.0000  2 Cd 2.54
Mn  0.0000  0.0000  0.5000  2 Cd 2.37
Al  0.5000  0.5000  0.5000  8 Hf 3.47, 4 Mn 3.59
Cd  0.0000  0.0000  0.0000  2 Mn 2.37, 4 Hf 2.54

Results
ΔH_f (0 K): 125.2 kJ/mol of atoms
Symmetry: P4/mmm, No. 123


No. 6
Computed, not measured: a geometry-optimized AlCd2Hg structure at the GGA-PBEsol level of DFT.

Unit cell a=2.8272 b=5.4181 c=10.9124 alpha=90.00 beta=90.00 gamma=90.00
With the nearest neighbours (Å) after each atom.
Sites, in units of the cell vectors:
Al  0.0000  0.0000  0.0000  2 Al 2.83, 2 Hg 2.94, 6 Cd 2.96-3.06
Al  0.5000  0.5000  0.5000  2 Al 2.83, 2 Hg 2.94, 6 Cd 2.96-3.06
Cd  0.0000  0.0000  0.4992  2 Cd 2.83, 4 Al 3.06
Cd  0.0000  0.5000  0.7385  2 Cd 2.83, 2 Al 2.96, 4 Hg 3.07
Cd  0.5000  0.0000  0.2384  2 Cd 2.83, 2 Al 2.96, 4 Hg 3.07
Cd  0.5000  0.5000  0.9992  2 Cd 2.83, 4 Al 3.06
Hg  0.0000  0.5000  0.2640  2 Hg 2.83, 2 Al 2.94, 4 Cd 3.07
Hg  0.5000  0.0000  0.7640  2 Hg 2.83, 2 Al 2.94, 4 Cd 3.07

Results
ΔH_f (0 K): 8.9 kJ/mol of atoms
Symmetry: Imm2, No. 44


No. 7
Computed, not measured: a geometry-optimized AlCdHg2 structure at the GGA-PBEsol level of DFT.

Unit cell a=8.7252 b=3.3038 c=5.9469 alpha=90.00 beta=102.63 gamma=90.00
With the nearest neighbours (Å) after each atom.
Sites, in units of the cell vectors:
Al  0.0000  0.0000  0.0000  6 Hg 2.82-2.87
Al  0.5000  0.5000  0.0000  6 Hg 2.82-2.87
Cd  0.0000  0.5000  0.5000  6 Hg 2.92-2.94
Cd  0.5000  0.0000  0.5000  6 Hg 2.92-2.94
Hg  0.2451  0.5000  0.2341  3 Al 2.82-2.87, 3 Cd 2.92-2.94
Hg  0.2549  0.0000  0.7659  3 Al 2.82-2.87, 3 Cd 2.92-2.94
Hg  0.7451  0.0000  0.2341  3 Al 2.82-2.87, 3 Cd 2.92-2.94
Hg  0.7549  0.5000  0.7659  3 Al 2.82-2.87, 3 Cd 2.92-2.94

Results
ΔH_f (0 K): 3.1 kJ/mol of atoms
Symmetry: C2/m, No. 12


No. 8
Computed, not measured: a geometry-optimized AlCdHg structure at the GGA-PBEsol level of DFT.

Unit cell a=6.4080 b=6.4080 c=6.4080 alpha=90.00 beta=90.00 gamma=90.00
With the nearest neighbours (Å) after each atom.
Sites, in units of the cell vectors:
Al  0.0000  0.0000  0.0000  4 Cd 2.77, 4 Hg 2.77
Al  0.0000  0.5000  0.5000  4 Cd 2.77, 4 Hg 2.77
Al  0.5000  0.0000  0.5000  4 Cd 2.77, 4 Hg 2.77
Al  0.5000  0.5000  0.0000  4 Cd 2.77, 4 Hg 2.77
Cd  0.2500  0.2500  0.7500  4 Al 2.77
Cd  0.2500  0.7500  0.2500  4 Al 2.77
Cd  0.7500  0.2500  0.2500  4 Al 2.77
Cd  0.7500  0.7500  0.7500  4 Al 2.77
Hg  0.2500  0.2500  0.2500  4 Al 2.77
Hg  0.2500  0.7500  0.7500  4 Al 2.77
Hg  0.7500  0.2500  0.7500  4 Al 2.77
Hg  0.7500  0.7500  0.2500  4 Al 2.77

Results
ΔH_f (0 K): 8.8 kJ/mol of atoms
Symmetry: F-43m, No. 216


No. 9
Computed, not measured: a geometry-optimized AlCd2Hg structure at the GGA-PBEsol level of DFT.

Unit cell a=4.3118 b=4.3118 c=4.3477 alpha=90.00 beta=90.00 gamma=90.00
With the nearest neighbours (Å) after each atom.
Sites, in units of the cell vectors:
Al  0.0000  0.0000  0.0000  4 Hg 3.05, 8 Cd 3.06
Cd  0.0000  0.5000  0.5000  4 Cd 3.05, 4 Hg 3.06, 4 Al 3.06
Cd  0.5000  0.0000  0.5000  4 Cd 3.05, 4 Hg 3.06, 4 Al 3.06
Hg  0.5000  0.5000  0.0000  4 Al 3.05, 8 Cd 3.06

Results
ΔH_f (0 K): 7.9 kJ/mol of atoms
Symmetry: P4/mmm, No. 123


No. 10
Computed, not measured: a geometry-optimized AlCdHg2 structure at the GGA-PBEsol level of DFT.

Unit cell a=3.1261 b=3.1261 c=8.4430 alpha=90.00 beta=90.00 gamma=90.00
With the nearest neighbours (Å) after each atom.
Sites, in units of the cell vectors:
Al  0.0000  0.0000  0.0000  4 Hg 2.94, 4 Cd 2.98, 4 Al 3.13
Cd  0.5000  0.5000  0.2370  4 Al 2.98, 4 Hg 3.11, 4 Cd 3.13
Hg  0.0000  0.0000  0.4953  4 Cd 3.11, 8 Hg 3.13-3.20
Hg  0.5000  0.5000  0.7697  4 Al 2.94, 8 Hg 3.13-3.20

Results
ΔH_f (0 K): 7.5 kJ/mol of atoms
Symmetry: P4mm, No. 99


No. 11
Computed, not measured: a geometry-optimized AlCdI3 structure at the GGA-PBEsol level of DFT.

Unit cell a=5.7513 b=5.7513 c=5.7513 alpha=90.00 beta=90.00 gamma=90.00
With the nearest neighbours (Å) after each atom.
Sites, in units of the cell vectors:
Al  0.0000  0.0000  0.0000  12 I 4.07
Cd  0.5000  0.5000  0.5000  6 I 2.88
I  0.0000  0.5000  0.5000  2 Cd 2.88
I  0.5000  0.0000  0.5000  2 Cd 2.88
I  0.5000  0.5000  0.0000  2 Cd 2.88

Results
Energy relative to the elements, uncorrected: -0.32 eV/f.u.
Symmetry: Pm-3m, No. 221


No. 12
Computed, not measured: a geometry-optimized AlCdIn2 structure at the GGA-PBEsol level of DFT.

Unit cell a=4.4339 b=4.4339 c=9.0467 alpha=90.00 beta=90.00 gamma=90.00
With the nearest neighbours (Å) after each atom.
Sites, in units of the cell vectors:
Al  0.0000  0.0000  0.0000  8 In 3.14-3.17, 4 Cd 3.17
Al  0.5000  0.5000  0.5000  8 In 3.14-3.17, 4 Cd 3.17
Cd  0.0000  0.5000  0.2500  8 In 3.14-3.17, 4 Al 3.17
Cd  0.5000  0.0000  0.7500  8 In 3.14-3.17, 4 Al 3.17
In  0.0000  0.0000  0.5000  4 Al 3.14, 4 Cd 3.17, 4 In 3.17
In  0.0000  0.5000  0.7500  4 Cd 3.14, 4 In 3.17, 4 Al 3.17
In  0.5000  0.0000  0.2500  4 Cd 3.14, 4 Al 3.17, 4 In 3.17
In  0.5000  0.5000  0.0000  4 Al 3.14, 4 Cd 3.17, 4 In 3.17

Results
ΔH_f (0 K): 11.4 kJ/mol of atoms
Symmetry: I-4m2, No. 119


Number 1: magnetization 0.0 μB per formula unit. Number 2: magnetization 0.2 μB per formula unit. Number 3: magnetization 0.0 μB per formula unit. Number 4: magnetization 0.8 μB per formula unit. Number 5: magnetization 3.6 μB per formula unit. Number 6: magnetization 0.0 μB per formula unit. Number 7: magnetization 0.0 μB per formula unit. Number 8: magnetization 0.0 μB per formula unit. Number 9: magnetization 0.0 μB per formula unit. Number 10: magnetization 0.0 μB per formula unit. Number 11: magnetization 0.0 μB per formula unit. Number 12: magnetization 0.0 μB per formula unit.